This record from Alexandria via LeMat-Bulk describes a geometry-optimized Li2VO2F structure. The functional is PBE with a Hubbard U.

Cell and atoms, written as POSCAR:
```
Li2VO2F
1.0
-2.734 -2.462 1.927
3.836 -0.811 4.405
-1.346 4.976 -0.028
F Li V O
2 4 2 4
Direct
0.485 0.499 0.973
0.846 0.168 0.694
0.669 0.334 0.333
0.334 0.164 0.666
0.664 0.834 0.333
0.001 0.502 0.000
0.316 0.666 0.633
0.016 0.001 0.033
0.161 0.833 0.333
0.173 0.333 0.333
0.497 0.985 0.990
0.839 0.681 0.676
```

Computed properties:
Relative energy among the computed polymorphs   51.8 meV per atom
Spin magnetization   4.000 μB/cell